(w)
NaLi4Cd7 | PBE | optimized geometry

Cell and atoms, written as POSCAR:
```
NaLi4Cd7
1.0
5.643 -2.669 0.000
5.643 2.669 0.000
-5.434 0.000 9.040
Na Li Cd
1 4 7
Direct
0.000 0.000 0.000 Na
0.271 0.271 0.680 Li
0.409 0.409 0.224 Li
0.591 0.591 0.776 Li
0.729 0.729 0.320 Li
0.042 0.042 0.365 Cd
0.217 0.217 0.913 Cd
0.349 0.349 0.461 Cd
0.500 0.500 0.000 Cd
0.651 0.651 0.539 Cd
0.783 0.783 0.087 Cd
0.958 0.958 0.635 Cd
```

Values from the calculation:
Space group: No. 12
D(E_F) (states/eV per atom): 0.408
Density (Mg/m³): 5.11
Total magnetic moment (μB per atom): 0.00


(x)
NaLi4Cd7 | PBE | optimized geometry

Cell and atoms, written as POSCAR:
```
NaLi4Cd7
1.0
4.857 0.000 0.000
-2.428 4.206 0.000
0.000 0.000 11.986
Na Li Cd
1 4 7
Direct
0.000 0.000 0.000 Na
0.333 0.667 0.160 Li
0.333 0.667 0.411 Li
0.667 0.333 0.589 Li
0.667 0.333 0.840 Li
0.000 0.000 0.252 Cd
0.000 0.000 0.500 Cd
0.000 0.000 0.748 Cd
0.333 0.667 0.649 Cd
0.333 0.667 0.899 Cd
0.667 0.333 0.101 Cd
0.667 0.333 0.351 Cd
```

Values from the calculation:
Space group: No. 164
D(E_F) (states/eV per atom): 0.317
Density (Mg/m³): 5.68
Total magnetic moment (μB per atom): 0.00


Tell me which of them is the most stable. Sure, it is (x).


(w)
NaLiCdPb | PBE | optimized geometry

Cell and atoms, written as POSCAR:
```
NaLiCdPb
1.0
3.491 0.000 0.000
0.000 3.491 0.000
0.000 0.000 7.886
Na Li Cd Pb
1 1 1 1
Direct
0.000 0.000 0.000 Na
0.000 0.000 0.517 Li
0.500 0.500 0.718 Cd
0.500 0.500 0.295 Pb
```

Values from the calculation:
Space group: No. 99
D(E_F) (states/eV per atom): 0.394
Density (Mg/m³): 6.04
Total magnetic moment (μB per atom): 0.00


(x)
NaLiCdPb | PBE | optimized geometry

Cell and atoms, written as POSCAR:
```
NaLiCdPb
1.0
0.000 3.620 3.620
3.620 0.000 3.620
3.620 3.620 0.000
Na Li Cd Pb
1 1 1 1
Direct
0.000 0.000 0.000 Na
0.750 0.750 0.750 Li
0.250 0.250 0.250 Cd
0.500 0.500 0.500 Pb
```

Values from the calculation:
Space group: No. 216
D(E_F) (states/eV per atom): 0.266
Density (Mg/m³): 6.12
Total magnetic moment (μB per atom): 0.00


Tell me which of them is the most stable. Sure, it is (x).


(w)
RbNa2LiCd | PBE | optimized geometry

Cell and atoms, written as POSCAR:
```
RbNa2LiCd
1.0
6.083 0.000 0.000
0.000 6.083 0.000
0.000 0.000 5.552
Rb Na Li Cd
1 2 1 1
Direct
0.000 0.000 0.000 Rb
0.000 0.500 0.500 Na
0.500 0.000 0.500 Na
0.500 0.500 0.000 Li
0.500 0.500 0.500 Cd
```

Values from the calculation:
Space group: No. 123
D(E_F) (states/eV per atom): 0.579
Density (Mg/m³): 2.03
Total magnetic moment (μB per atom): 0.00


(x)
RbNa2LiCd | PBE | optimized geometry

Cell and atoms, written as POSCAR:
```
RbNa2LiCd
1.0
5.914 0.000 0.000
0.000 5.914 0.000
0.000 0.000 5.498
Rb Na Li Cd
1 2 1 1
Direct
0.000 0.000 0.000 Rb
0.000 0.500 0.500 Na
0.500 0.000 0.500 Na
0.500 0.500 0.500 Li
0.500 0.500 0.000 Cd
```

Values from the calculation:
Space group: No. 123
D(E_F) (states/eV per atom): 0.546
Density (Mg/m³): 2.17
Total magnetic moment (μB per atom): 0.00


Tell me which of them is the most stable. Sure, it is (w).


(w)
NaLiCdS2 | PBE | optimized geometry

Cell and atoms, written as POSCAR:
```
NaLiCdS2
1.0
5.150 0.000 0.000
0.000 5.150 0.000
0.000 0.000 4.784
Na Li Cd S
1 1 1 2
Direct
0.000 0.000 0.000 Na
0.500 0.500 0.000 Li
0.500 0.500 0.500 Cd
0.000 0.500 0.500 S
0.500 0.000 0.500 S
```

Values from the calculation:
Space group: No. 123
D(E_F) (states/eV per atom): 0.333
Density (Mg/m³): 2.70
Total magnetic moment (μB per atom): 0.00


(x)
NaLiCdS2 | PBE | optimized geometry

Cell and atoms, written as POSCAR:
```
NaLiCdS2
1.0
4.149 0.000 0.000
-2.074 3.593 0.000
0.000 0.000 7.037
Na Li Cd S
1 1 1 2
Direct
0.000 0.000 0.000 Na
0.333 0.667 0.693 Li
0.667 0.333 0.408 Cd
0.333 0.667 0.269 S
0.667 0.333 0.767 S
```

Values from the calculation:
Space group: No. 156
D(E_F) (states/eV per atom): 0.000
Density (Mg/m³): 3.27
Total magnetic moment (μB per atom): 0.00


Tell me which of them is the most stable. Sure, it is (x).


(w)
LiNbCd2 | PBE | optimized geometry

Cell and atoms, written as POSCAR:
```
LiNbCd2
1.0
-3.713 3.713 2.889
3.713 -3.713 2.889
3.713 3.713 -2.889
Li Nb Cd
2 2 4
Direct
0.000 0.000 0.000 Li
0.750 0.250 0.500 Li
0.250 0.750 0.500 Nb
0.500 0.500 0.000 Nb
0.092 0.625 0.967 Cd
0.375 0.342 0.467 Cd
0.658 0.125 0.033 Cd
0.875 0.908 0.533 Cd
```

Values from the calculation:
Space group: No. 122
D(E_F) (states/eV per atom): 0.425
Density (Mg/m³): 6.77
Total magnetic moment (μB per atom): 0.49


(x)
LiNbCd2 | PBE | optimized geometry

Cell and atoms, written as POSCAR:
```
LiNbCd2
1.0
2.989 0.000 0.000
0.000 2.989 0.000
0.000 0.000 8.249
Li Nb Cd
1 1 2
Direct
0.000 0.000 0.000 Li
0.000 0.000 0.500 Nb
0.500 0.500 0.235 Cd
0.500 0.500 0.765 Cd
```

Values from the calculation:
Space group: No. 123
D(E_F) (states/eV per atom): 0.469
Density (Mg/m³): 7.32
Total magnetic moment (μB per atom): 0.00


Tell me which of them is the most stable. Sure, it is (x).


(w)
Li2NdCd6 | PBE | optimized geometry

Cell and atoms, written as POSCAR:
```
Li2NdCd6
1.0
0.000 6.208 6.208
6.208 0.000 6.208
6.208 6.208 0.000
Li Nd Cd
4 2 12
Direct
0.000 0.000 0.000 Li
0.000 0.000 0.500 Li
0.000 0.500 0.000 Li
0.500 0.000 0.000 Li
0.375 0.375 0.375 Nd
0.625 0.625 0.625 Nd
0.119 0.119 0.631 Cd
0.119 0.631 0.119 Cd
0.119 0.631 0.631 Cd
0.369 0.369 0.881 Cd
0.369 0.881 0.369 Cd
0.369 0.881 0.881 Cd
0.631 0.119 0.119 Cd
0.631 0.119 0.631 Cd
0.631 0.631 0.119 Cd
0.881 0.369 0.369 Cd
0.881 0.369 0.881 Cd
0.881 0.881 0.369 Cd
```

Values from the calculation:
Space group: No. 227
D(E_F) (states/eV per atom): 0.612
Density (Mg/m³): 5.78
Total magnetic moment (μB per atom): 0.00


(x)
Li2NdCd6 | PBE | optimized geometry

Cell and atoms, written as POSCAR:
```
Li2NdCd6
1.0
8.753 0.000 0.000
-4.377 7.581 0.000
0.000 0.000 3.148
Li Nd Cd
2 1 6
Direct
0.333 0.667 0.000 Li
0.667 0.333 0.000 Li
0.000 0.000 0.000 Nd
0.000 0.340 0.500 Cd
0.000 0.660 0.500 Cd
0.340 0.000 0.500 Cd
0.340 0.340 0.500 Cd
0.660 0.000 0.500 Cd
0.660 0.660 0.500 Cd
```

Values from the calculation:
Space group: No. 191
D(E_F) (states/eV per atom): 0.454
Density (Mg/m³): 6.62
Total magnetic moment (μB per atom): 0.01


Tell me which of them is the most stable. Sure, it is (x).


(w)
LiNd2Cd | PBE | optimized geometry

Cell and atoms, written as POSCAR:
```
LiNd2Cd
1.0
0.000 3.837 3.837
3.837 0.000 3.837
3.837 3.837 0.000
Li Nd Cd
1 2 1
Direct
0.000 0.000 0.000 Li
0.250 0.250 0.250 Nd
0.750 0.750 0.750 Nd
0.500 0.500 0.500 Cd
```

Values from the calculation:
Space group: No. 225
D(E_F) (states/eV per atom): 1.546
Density (Mg/m³): 5.99
Total magnetic moment (μB per atom): 0.10


(x)
LiNd2Cd | PBE | optimized geometry

Cell and atoms, written as POSCAR:
```
LiNd2Cd
1.0
1.708 0.986 12.092
-1.708 0.986 12.092
0.000 -1.973 12.092
Li Nd Cd
1 2 1
Direct
0.000 0.000 0.000 Li
0.409 0.409 0.409 Nd
0.591 0.591 0.591 Nd
0.500 0.500 0.500 Cd
```

Values from the calculation:
Space group: No. 166
D(E_F) (states/eV per atom): 1.505
Density (Mg/m³): 5.54
Total magnetic moment (μB per atom): 0.00


Tell me which of them is the most stable. Sure, it is (w).


(w)
LiNdCd | PBE | optimized geometry

Cell and atoms, written as POSCAR:
```
LiNdCd
1.0
5.070 0.000 0.000
-2.535 4.391 0.000
0.000 0.000 3.344
Li Nd Cd
1 1 1
Direct
0.000 0.000 0.000 Li
0.667 0.333 0.500 Nd
0.333 0.667 0.000 Cd
```

Values from the calculation:
Space group: No. 187
D(E_F) (states/eV per atom): 0.754
Density (Mg/m³): 5.88
Total magnetic moment (μB per atom): 0.03


(x)
LiNdCd | PBE | optimized geometry

Cell and atoms, written as POSCAR:
```
LiNdCd
1.0
-1.914 1.914 5.160
1.914 -1.914 5.160
1.914 1.914 -5.160
Li Nd Cd
1 1 1
Direct
0.000 0.000 0.000 Li
0.691 0.691 0.000 Nd
0.372 0.372 0.000 Cd
```

Values from the calculation:
Space group: No. 107
D(E_F) (states/eV per atom): 0.499
Density (Mg/m³): 5.79
Total magnetic moment (μB per atom): 0.00


Tell me which of them is the most stable. Sure, it is (w).